No. 1
# TaIn2Ag | Alexandria via LeMat-Bulk | GGA-PBE | optimized geometry
# Theoretical density: 10.91 g/cm3
# Energy above the lowest structure with this stoichiometry: 76 meV/atom
# Calculated formation energy: 0.227 eV/atom
data_TaIn2Ag
_chemical_formula_sum 'Ta1 In2 Ag1'
_symmetry_space_group_name_H-M 'P 4/m m m'
_symmetry_Int_Tables_number 123
_symmetry_space_group_name_Hall '-P 4 2'
_cell_length_a 4.3971
_cell_length_b 4.3971
_cell_length_c 4.0800
_cell_angle_alpha 90.00
_cell_angle_beta 90.00
_cell_angle_gamma 90.00
loop_
_atom_site_label
_atom_site_type_symbol
_atom_site_fract_x
_atom_site_fract_y
_atom_site_fract_z
Ta1 Ta 0.0000 0.0000 0.0000
In1 In 0.0000 0.5000 0.5000
Ag1 Ag 0.5000 0.5000 0.0000

=====

No. 2
# YTc2Rh | Alexandria via LeMat-Bulk | GGA-PBE | optimized geometry
# Theoretical density: 9.06 g/cm3
# Energy above the lowest structure with this stoichiometry: 138 meV/atom
# Calculated formation energy: 0.100 eV/atom
data_YTc2Rh
_chemical_formula_sum 'Y2 Tc4 Rh2'
_symmetry_space_group_name_H-M 'C 1 m 1'
_symmetry_Int_Tables_number 8
_cell_length_a 9.0777
_cell_length_b 2.9813
_cell_length_c 5.3559
_cell_angle_alpha 90.00
_cell_angle_beta 101.15
_cell_angle_gamma 90.00
loop_
_symmetry_equiv_pos_as_xyz
'x,y,z'
'x,-y,z'
'x+1/2,y+1/2,z'
'x+1/2,-y+1/2,z'
loop_
_atom_site_label
_atom_site_type_symbol
_atom_site_fract_x
_atom_site_fract_y
_atom_site_fract_z
Y1 Y 0.0000 0.0000 0.0000
Tc1 Tc 0.2292 0.0000 0.6414
Tc2 Tc 0.4950 0.0000 0.5092
Rh1 Rh 0.2571 0.5000 0.2424

=====

No. 3
# Ta2PIr | Alexandria via LeMat-Bulk | GGA-PBE | optimized geometry
# Theoretical density: 15.38 g/cm3
# Calculated formation energy: -0.280 eV/atom
data_Ta2PIr
_chemical_formula_sum 'Ta4 P2 Ir2'
_symmetry_space_group_name_H-M 'C m m 2'
_symmetry_Int_Tables_number 35
_cell_length_a 3.6695
_cell_length_b 4.4927
_cell_length_c 7.6644
_cell_angle_alpha 90.00
_cell_angle_beta 90.00
_cell_angle_gamma 90.00
loop_
_symmetry_equiv_pos_as_xyz
'x,y,z'
'-x,-y,z'
'-x,y,z'
'x,-y,z'
'x+1/2,y+1/2,z'
'-x+1/2,-y+1/2,z'
'-x+1/2,y+1/2,z'
'x+1/2,-y+1/2,z'
loop_
_atom_site_label
_atom_site_type_symbol
_atom_site_fract_x
_atom_site_fract_y
_atom_site_fract_z
Ta1 Ta 0.0000 0.0000 0.0000
Ta2 Ta 0.0000 0.5000 0.2958
P1 P 0.0000 0.5000 0.7723
Ir1 Ir 0.0000 0.0000 0.5766

=====

No. 4
# Mg3ZnCu2 | Alexandria via LeMat-Bulk | GGA-PBE | optimized geometry
# Theoretical density: 4.46 g/cm3
# Energy above the lowest structure with this stoichiometry: 67 meV/atom
# Calculated formation energy: -0.029 eV/atom
data_Mg3ZnCu2
_chemical_formula_sum 'Mg6 Zn2 Cu4'
_symmetry_space_group_name_H-M 'P 63/m m c'
_symmetry_Int_Tables_number 194
_symmetry_space_group_name_Hall '-P 6c 2c'
_cell_length_a 4.5162
_cell_length_b 4.5162
_cell_length_c 11.1825
_cell_angle_alpha 90.00
_cell_angle_beta 90.00
_cell_angle_gamma 120.00
loop_
_atom_site_label
_atom_site_type_symbol
_atom_site_fract_x
_atom_site_fract_y
_atom_site_fract_z
Mg1 Mg 0.0000 0.0000 0.0000
Mg2 Mg 0.3333 0.6667 0.1154
Zn1 Zn 0.0000 0.0000 0.2500
Cu1 Cu 0.3333 0.6667 0.6406

=====

No. 5
# BRuN2 | Alexandria via LeMat-Bulk | GGA-PBE | optimized geometry
# Theoretical density: 6.79 g/cm3
# Uncorrected formation energy: -70 meV/atom
data_BRuN2
_chemical_formula_sum 'B4 Ru4 N8'
_symmetry_space_group_name_H-M 'I -4 2 d'
_symmetry_Int_Tables_number 122
_symmetry_space_group_name_Hall 'I -4 2bw'
_cell_length_a 4.3049
_cell_length_b 4.3049
_cell_length_c 7.3813
_cell_angle_alpha 90.00
_cell_angle_beta 90.00
_cell_angle_gamma 90.00
loop_
_atom_site_label
_atom_site_type_symbol
_atom_site_fract_x
_atom_site_fract_y
_atom_site_fract_z
B1 B 0.0000 0.0000 0.0000
Ru1 Ru 0.0000 0.0000 0.5000
N1 N 0.1606 0.2500 0.1250

=====

No. 6
# Ce2Mg16Cd | Alexandria via LeMat-Bulk | GGA-PBE | optimized geometry
# Theoretical density: 2.82 g/cm3
# Calculated formation energy: -0.027 eV/atom
data_Ce2Mg16Cd
_chemical_formula_sum 'Ce6 Mg48 Cd3'
_symmetry_space_group_name_H-M 'R 3 m'
_symmetry_Int_Tables_number 160
_symmetry_space_group_name_Hall 'R 3 -2"'
_cell_length_a 10.2499
_cell_length_b 10.2499
_cell_length_c 15.1908
_cell_angle_alpha 90.00
_cell_angle_beta 90.00
_cell_angle_gamma 120.00
loop_
_atom_site_label
_atom_site_type_symbol
_atom_site_fract_x
_atom_site_fract_y
_atom_site_fract_z
Ce1 Ce 0.0000 0.0000 0.0000
Ce2 Ce 0.0000 0.0000 0.3396
Mg1 Mg 0.0000 0.0000 0.5758
Mg2 Mg 0.0002 0.3026 0.6694
Mg3 Mg 0.0058 0.5029 0.8221
Mg4 Mg 0.1679 0.3359 0.5027
Mg5 Mg 0.1709 0.3418 0.8495
Cd1 Cd 0.0000 0.0000 0.7725